# 1
DFT (PBE) results for crystalline AcEu3P at its relaxed geometry.

It has space group Pm-3m (No. 221), with a = 5.7807 Å, b = 5.7807 Å, c = 5.7807 Å, α = 90.00°, β = 90.00° and γ = 90.00°. The distinct sites, in fractional coordinates, are Ac at (0.0000, 0.0000, 0.0000), Eu at (0.0000, 0.5000, 0.5000) and P at (0.5000, 0.5000, 0.5000).

The total energy is -8.4562 eV per atom. For the energy of formation, the calculation gives -0.388 eV/atom.



# 2
DFT (PBE) results for crystalline KPmP2Pt4 at its relaxed geometry.

It has space group P4/mmm (No. 123), with a = 4.0527 Å, b = 4.0527 Å, c = 10.8002 Å, α = 90.00°, β = 90.00° and γ = 90.00°. The distinct sites, in fractional coordinates, are K at (0.0000, 0.0000, 0.0000), Pm at (0.0000, 0.0000, 0.5000), P at (0.5000, 0.5000, 0.1828) and Pt at (0.0000, 0.5000, 0.2924).

The total energy is -5.8240 eV per atom. For the energy of formation, the calculation gives -0.720 eV/atom.



# 3
DFT (PBE) results for crystalline EuHoGa at its relaxed geometry.

It has space group I4mm (No. 107), with a = 3.6787 Å, b = 3.6787 Å, c = 12.7468 Å, α = 90.00°, β = 90.00° and γ = 90.00°. The distinct sites, in fractional coordinates, are Eu at (0.0000, 0.0000, 0.0000), Ho at (0.0000, 0.0000, 0.2744) and Ga at (0.0000, 0.0000, 0.6554).

The total energy is -6.2765 eV per atom. For the energy of formation, the calculation gives -0.317 eV/atom.



# 4
DFT (PBE) results for crystalline CaIn2Tc at its relaxed geometry.

It has space group Pm (No. 6), with a = 3.2313 Å, b = 4.9536 Å, c = 5.4582 Å, α = 90.00°, β = 93.81° and γ = 90.00°. The distinct sites, in fractional coordinates, are Ca at (0.0000, 0.0000, 0.0000), In at (0.5193, 0.0000, 0.5203), In at (0.5302, 0.5000, 0.1994) and Tc at (0.1529, 0.5000, 0.6872).

The total energy is -4.2134 eV per atom. For the energy of formation, the calculation gives 0.248 eV/atom.



# 5
DFT (PBE) results for crystalline CaVP2Os at its relaxed geometry.

It has space group I-4m2 (No. 119), with a = 4.0452 Å, b = 4.0452 Å, c = 10.0640 Å, α = 90.00°, β = 90.00° and γ = 90.00°. The distinct sites, in fractional coordinates, are Ca at (0.0000, 0.0000, 0.0000), V at (0.0000, 0.5000, 0.2500), P at (0.0000, 0.0000, 0.3731) and Os at (0.0000, 0.5000, 0.7500).

The total energy is -7.3378 eV per atom. For the energy of formation, the calculation gives -0.704 eV/atom.



# 6
DFT (PBE) results for crystalline TiFe3Br at its relaxed geometry.

It has space group Pm-3m (No. 221), with a = 4.3279 Å, b = 4.3279 Å, c = 4.3279 Å, α = 90.00°, β = 90.00° and γ = 90.00°. The distinct sites, in fractional coordinates, are Ti at (0.0000, 0.0000, 0.0000), Fe at (0.0000, 0.5000, 0.5000) and Br at (0.5000, 0.5000, 0.5000).

The total energy is -5.9276 eV per atom.



# 7
DFT (PBE) results for crystalline MnPRh2 at its relaxed geometry.

It has space group I-4m2 (No. 119), with a = 3.6632 Å, b = 3.6632 Å, c = 8.0716 Å, α = 90.00°, β = 90.00° and γ = 90.00°. The distinct sites, in fractional coordinates, are Mn at (0.0000, 0.0000, 0.0000), P at (0.0000, 0.5000, 0.7500), Rh at (0.0000, 0.0000, 0.5000) and Rh at (0.0000, 0.5000, 0.2500).

The total energy is -7.4762 eV per atom. For the energy of formation, the calculation gives -0.156 eV/atom.



# 8
DFT (PBE) results for crystalline KLiHg2 at its relaxed geometry.

It has space group Pm (No. 6), with a = 3.4398 Å, b = 4.6329 Å, c = 7.3414 Å, α = 90.00°, β = 90.06° and γ = 90.00°. The distinct sites, in fractional coordinates, are K at (0.0000, 0.0000, 0.0000), Li at (0.9985, 0.5000, 0.4012), Hg at (0.4978, 0.0000, 0.4325) and Hg at (0.4988, 0.5000, 0.7203).

The total energy is -1.1148 eV per atom. For the energy of formation, the calculation gives -0.211 eV/atom.



# 9
DFT (PBE) results for crystalline LaEr2TmIn4 at its relaxed geometry.

It has space group R-3m (No. 166, hexagonal axes), with a = 5.3499 Å, b = 5.3499 Å, c = 26.3866 Å, α = 90.00°, β = 90.00° and γ = 120.00°. The distinct sites, in fractional coordinates, are La at (0.0000, 0.0000, 0.0000), Er at (0.0000, 0.0000, 0.2492), Tm at (0.0000, 0.0000, 0.5000), In at (0.0000, 0.0000, 0.1277) and In at (0.0000, 0.0000, 0.3781).

The total energy is -4.1315 eV per atom. For the energy of formation, the calculation gives -0.447 eV/atom.



# 10
DFT (PBE) results for crystalline KCeHf2O6 at its relaxed geometry.

It has space group Fm-3m (No. 225), with a = 8.2478 Å, b = 8.2478 Å, c = 8.2478 Å, α = 90.00°, β = 90.00° and γ = 90.00°. The distinct sites, in fractional coordinates, are K at (0.0000, 0.0000, 0.0000), Ce at (0.0000, 0.0000, 0.5000), Hf at (0.2500, 0.2500, 0.2500) and O at (0.0000, 0.2500, 0.2500).

The total energy is -8.7889 eV per atom.



# 11
DFT (PBE) results for crystalline LiRh3 at its relaxed geometry.

It has space group I4/mmm (No. 139), with a = 3.7609 Å, b = 3.7609 Å, c = 7.6513 Å, α = 90.00°, β = 90.00° and γ = 90.00°. The distinct sites, in fractional coordinates, are Li at (0.0000, 0.0000, 0.0000), Rh at (0.0000, 0.0000, 0.5000) and Rh at (0.0000, 0.5000, 0.2500).

The total energy is -6.0663 eV per atom. For the energy of formation, the calculation gives -0.074 eV/atom.



# 12
DFT (PBE) results for crystalline Rb4Np3CuO12 at its relaxed geometry.

It has space group Im-3m (No. 229), with a = 8.6386 Å, b = 8.6386 Å, c = 8.6386 Å, α = 90.00°, β = 90.00° and γ = 90.00°. The distinct sites, in fractional coordinates, are Rb at (0.2500, 0.2500, 0.2500), Np at (0.0000, 0.0000, 0.5000), Cu at (0.0000, 0.0000, 0.0000), O at (0.0000, 0.0000, 0.2774) and O at (0.0000, 0.2500, 0.5000).

The total energy is -7.6276 eV per atom.



# 13
DFT (PBE) results for crystalline Y4TlBiC at its relaxed geometry.

It has space group Cmcm (No. 63), with a = 6.8419 Å, b = 16.0434 Å, c = 6.8415 Å, α = 90.00°, β = 90.00° and γ = 90.00°. The distinct sites, in fractional coordinates, are Y at (0.0000, 0.0890, 0.2500), Y at (0.0000, 0.4053, 0.2500), Y at (0.2500, 0.2500, 0.0000), Tl at (0.0000, 0.1106, 0.7500), Bi at (0.0000, 0.3937, 0.7500) and C at (0.0000, 0.2506, 0.2500).

The total energy is -6.4777 eV per atom. For the energy of formation, the calculation gives -0.574 eV/atom.